# 1
A plane-wave DFT calculation with PBE-GGA was carried out for a relaxed structure of Li8Mg2Ga.

Properties
- M_tot: 0.00 μB/atom
- Energy above the lowest structure with this stoichiometry: 73 meV per atom
- Energy relative to the elements: -16 meV per atom

The structure in CIF format:
```
data_Li8Mg2Ga
_chemical_formula_sum 'Li16 Mg4 Ga2'
_symmetry_space_group_name_H-M 'C 1 2/m 1'
_symmetry_Int_Tables_number 12
_cell_length_a 7.544
_cell_length_b 13.853
_cell_length_c 5.009
_cell_angle_alpha 90.00
_cell_angle_beta 126.24
_cell_angle_gamma 90.00
loop_
_symmetry_equiv_pos_as_xyz
'x,y,z'
'-x,-y,-z'
'-x,y,-z'
'x,-y,z'
'x+1/2,y+1/2,z'
'-x+1/2,-y+1/2,-z'
'-x+1/2,y+1/2,-z'
'x+1/2,-y+1/2,z'
loop_
_atom_site_label
_atom_site_fract_x
_atom_site_fract_y
_atom_site_fract_z
Li1 0.000 0.195 0.000
Li2 0.102 0.500 0.804
Li3 0.216 0.106 0.655
Mg1 0.000 0.306 0.500
Ga1 0.000 0.000 0.000
```



# 2
A plane-wave DFT calculation with PBE-GGA was carried out for a relaxed structure of CuS5F.

Properties
- M_tot: 0.00 μB/atom
- Uncorrected formation energy: -0.22 eV/atom

The structure in CIF format:
```
data_CuS5F
_chemical_formula_sum 'Cu4 S20 F4'
_symmetry_space_group_name_H-M 'C 1 2/c 1'
_symmetry_Int_Tables_number 15
_cell_length_a 5.101
_cell_length_b 17.801
_cell_length_c 7.989
_cell_angle_alpha 90.00
_cell_angle_beta 104.79
_cell_angle_gamma 90.00
loop_
_symmetry_equiv_pos_as_xyz
'x,y,z'
'-x,-y,-z'
'-x,y,-z+1/2'
'x,-y,z+1/2'
'x+1/2,y+1/2,z'
'-x+1/2,-y+1/2,-z'
'-x+1/2,y+1/2,-z+1/2'
'x+1/2,-y+1/2,z+1/2'
loop_
_atom_site_label
_atom_site_fract_x
_atom_site_fract_y
_atom_site_fract_z
Cu1 0.000 0.000 0.000
S1 0.000 0.409 0.250
S2 0.223 0.336 0.131
S3 0.231 0.109 0.075
F1 0.000 0.004 0.750
```



# 3
A plane-wave DFT calculation with PBE-GGA was carried out for a relaxed structure of CeDy2TmIn4.

Properties
- M_tot: 0.12 μB/atom
- Energy relative to the elements: -417 meV per atom

The structure in CIF format:
```
data_CeDy2TmIn4
_chemical_formula_sum 'Ce3 Dy6 Tm3 In12'
_symmetry_space_group_name_H-M 'R -3 m'
_symmetry_Int_Tables_number 166
_symmetry_space_group_name_Hall '-R 3 2"'
_cell_length_a 5.3311
_cell_length_b 5.3311
_cell_length_c 26.3329
_cell_angle_alpha 90.00
_cell_angle_beta 90.00
_cell_angle_gamma 120.00
loop_
_atom_site_label
_atom_site_fract_x
_atom_site_fract_y
_atom_site_fract_z
Ce1 0.0000 0.0000 0.0000
Dy1 0.0000 0.0000 0.2491
Tm1 0.0000 0.0000 0.5000
In1 0.0000 0.0000 0.1266
In2 0.0000 0.0000 0.3769
```